Record 1
Compound: Cs6CeBr12
Source: the Alexandria database
Functional: PBE
Structure: relaxed

Properties
- crystal system = trigonal
- space group = No. 148
- V (Å³/atom) = 51.6
- formation energy from raw total energies (eV per atom) = -1.505
- total energy (eV/atom) = -3.14

Unit cell a=10.049 b=10.049 c=10.049 alpha=98.16 beta=98.16 gamma=98.16
Fractional coordinates of all 19 atoms:
Cs  0.162  0.623  0.275
Cs  0.275  0.162  0.623
Cs  0.377  0.725  0.838
Cs  0.623  0.275  0.162
Cs  0.725  0.838  0.377
Cs  0.838  0.377  0.725
Ce  0.000  0.000  0.000
Br  0.018  0.722  0.938
Br  0.062  0.982  0.278
Br  0.143  0.473  0.579
Br  0.278  0.062  0.982
Br  0.421  0.857  0.527
Br  0.473  0.579  0.143
Br  0.527  0.421  0.857
Br  0.579  0.143  0.473
Br  0.722  0.938  0.018
Br  0.857  0.527  0.421
Br  0.938  0.018  0.722
Br  0.982  0.278  0.062



Record 2
Compound: Cs4Ce6Br19
Source: the Alexandria database
Functional: PBE
Structure: relaxed

Properties
- crystal system = cubic
- space group = No. 197
- V (Å³/atom) = 41.6
- formation energy from raw total energies (eV per atom) = -1.770
- total energy (eV/atom) = -4.21

Unit cell a=11.615 b=11.615 c=11.615 alpha=109.47 beta=109.47 gamma=109.47
Fractional coordinates of all 29 atoms:
Cs  0.000  0.000  0.306
Cs  0.000  0.306  0.000
Cs  0.306  0.000  0.000
Cs  0.694  0.694  0.694
Ce  0.158  0.500  0.658
Ce  0.342  0.842  0.500
Ce  0.500  0.342  0.842
Ce  0.500  0.658  0.158
Ce  0.658  0.158  0.500
Ce  0.842  0.500  0.342
Br  0.000  0.000  0.000
Br  0.000  0.345  0.345
Br  0.000  0.655  0.655
Br  0.036  0.666  0.269
Br  0.233  0.630  0.964
Br  0.269  0.036  0.666
Br  0.334  0.370  0.604
Br  0.345  0.000  0.345
Br  0.345  0.345  0.000
Br  0.370  0.604  0.334
Br  0.396  0.767  0.731
Br  0.604  0.334  0.370
Br  0.630  0.964  0.233
Br  0.655  0.000  0.655
Br  0.655  0.655  0.000
Br  0.666  0.269  0.036
Br  0.731  0.396  0.767
Br  0.767  0.731  0.396
Br  0.964  0.233  0.630



Record 3
Compound: Cs3Ce6Br20
Source: the Alexandria database
Functional: PBE
Structure: relaxed

Properties
- crystal system = cubic
- space group = No. 225
- V (Å³/atom) = 33.2
- formation energy from raw total energies (eV per atom) = -1.785
- total energy (eV/atom) = -4.25

Unit cell a=11.081 b=11.081 c=11.081 alpha=60.00 beta=60.00 gamma=60.00
Fractional coordinates of all 29 atoms:
Cs  0.000  0.000  0.000
Cs  0.250  0.250  0.250
Cs  0.750  0.750  0.750
Ce  0.266  0.266  0.734
Ce  0.266  0.734  0.266
Ce  0.266  0.734  0.734
Ce  0.734  0.266  0.266
Ce  0.734  0.266  0.734
Ce  0.734  0.734  0.266
Br  0.000  0.000  0.335
Br  0.000  0.000  0.665
Br  0.000  0.335  0.000
Br  0.000  0.335  0.665
Br  0.000  0.665  0.000
Br  0.000  0.665  0.335
Br  0.156  0.615  0.615
Br  0.335  0.000  0.000
Br  0.335  0.000  0.665
Br  0.335  0.665  0.000
Br  0.385  0.385  0.385
Br  0.385  0.385  0.844
Br  0.385  0.844  0.385
Br  0.615  0.156  0.615
Br  0.615  0.615  0.156
Br  0.615  0.615  0.615
Br  0.665  0.000  0.000
Br  0.665  0.000  0.335
Br  0.665  0.335  0.000
Br  0.844  0.385  0.385



Record 4
Compound: Cs2CeBr6
Source: the Alexandria database
Functional: PBE
Structure: relaxed

Properties
- crystal system = cubic
- space group = No. 225
- V (Å³/atom) = 41.2
- formation energy from raw total energies (eV per atom) = -1.756
- total energy (eV/atom) = -3.72

Unit cell a=8.067 b=8.067 c=8.067 alpha=60.00 beta=60.00 gamma=60.00
Fractional coordinates of all 9 atoms:
Cs  0.250  0.250  0.250
Cs  0.750  0.750  0.750
Ce  0.000  0.000  0.000
Br  0.245  0.245  0.755
Br  0.245  0.755  0.245
Br  0.245  0.755  0.755
Br  0.755  0.245  0.245
Br  0.755  0.245  0.755
Br  0.755  0.755  0.245



Record 5
Compound: CsCeBr6
Source: the Alexandria database
Functional: PBE
Structure: relaxed

Properties
- crystal system = monoclinic
- space group = No. 12
- V (Å³/atom) = 41.7
- formation energy from raw total energies (eV per atom) = -1.370
- total energy (eV/atom) = -3.47

Unit cell a=6.771 b=6.771 c=7.510 alpha=98.36 beta=98.36 gamma=96.91
Fractional coordinates of all 8 atoms:
Cs  0.000  0.000  0.000
Ce  0.500  0.500  0.500
Br  0.183  0.560  0.240
Br  0.228  0.228  0.625
Br  0.440  0.817  0.760
Br  0.560  0.183  0.240
Br  0.772  0.772  0.375
Br  0.817  0.440  0.760



Record 6
Compound: CsCe3Br10
Source: the Alexandria database
Functional: PBE
Structure: relaxed

Properties
- crystal system = cubic
- space group = No. 225
- V (Å³/atom) = 33.2
- formation energy from raw total energies (eV per atom) = -1.792
- total energy (eV/atom) = -4.32

Unit cell a=10.957 b=10.957 c=10.957 alpha=60.00 beta=60.00 gamma=60.00
Fractional coordinates of all 28 atoms:
Cs  0.250  0.250  0.250
Cs  0.750  0.750  0.750
Ce  0.240  0.240  0.760
Ce  0.240  0.760  0.240
Ce  0.240  0.760  0.760
Ce  0.760  0.240  0.240
Ce  0.760  0.240  0.760
Ce  0.760  0.760  0.240
Br  0.115  0.115  0.115
Br  0.115  0.115  0.656
Br  0.115  0.656  0.115
Br  0.164  0.500  0.500
Br  0.164  0.500  0.836
Br  0.164  0.836  0.500
Br  0.344  0.885  0.885
Br  0.500  0.164  0.500
Br  0.500  0.164  0.836
Br  0.500  0.500  0.164
Br  0.500  0.500  0.836
Br  0.500  0.836  0.164
Br  0.500  0.836  0.500
Br  0.656  0.115  0.115
Br  0.836  0.164  0.500
Br  0.836  0.500  0.164
Br  0.836  0.500  0.500
Br  0.885  0.344  0.885
Br  0.885  0.885  0.344
Br  0.885  0.885  0.885